Ba2SiS | PBE | optimized geometry

Properties
E_form (uncorrected)   -1212 meV/atom
Excess energy over the best structure of this formula in the dataset   0.000 eV/atom

Cell: 4.8115 25.9649 4.3013 Å, 90.00 90.00 90.00°
Space group Cmcm (No. 63)
Asymmetric unit:
Ba1 0.0000 0.0663 0.2500 [4 per cell]
Ba2 0.0000 0.3111 0.2500 [4 per cell]
Si1 0.0000 0.4734 0.2500 [4 per cell]
S1 0.0000 0.1898 0.2500 [4 per cell]

Zr2NiAg2 | PBE | optimized geometry

Properties
E_form   0.406 eV/atom
Excess energy over the best structure of this formula in the dataset   0.214 eV/atom

Cell: 8.0961 8.0961 3.0723 Å, 90.00 90.00 90.00°
Space group P4/mbm (No. 127)
Asymmetric unit:
Zr1 0.1777 0.3223 0.0000 [4 per cell]
Ni1 0.0000 0.0000 0.0000 [2 per cell]
Ag1 0.1214 0.6214 0.5000 [4 per cell]

BaSmPt2 | PBE | optimized geometry

Properties
E_form   -0.853 eV/atom
Excess energy over the best structure of this formula in the dataset   0.069 eV/atom

Cell: 4.3415 4.3415 21.4119 Å, 90.00 90.00 120.00°
Space group R-3m (No. 166, hexagonal axes)
Asymmetric unit:
Ba1 0.0000 0.0000 0.0000 [3 per cell]
Sm1 0.0000 0.0000 0.5000 [3 per cell]
Pt1 0.0000 0.0000 0.2368 [6 per cell]

Sc2CoMo | PBE | optimized geometry

Properties
E_form   0.177 eV/atom

Cell: 5.8253 8.4051 2.9357 Å, 90.00 110.23 90.00°
Space group C2/m (No. 12)
Asymmetric unit:
Sc1 0.2500 0.2500 0.0000 [4 per cell]
Co1 0.0000 0.0000 0.5000 [2 per cell]
Mo1 0.0000 0.5000 0.5000 [2 per cell]

CaHgPt2 | PBE | optimized geometry

Properties
E_form   -0.197 eV/atom

Cell: 4.1964 4.1964 19.2427 Å, 90.00 90.00 90.00°
Space group I-42d (No. 122)
Asymmetric unit:
Ca1 0.0000 0.0000 0.0000 [4 per cell]
Hg1 0.0000 0.0000 0.5000 [4 per cell]
Pt1 0.2310 0.2500 0.6250 [8 per cell]

Sm2Be4PdPt3 | PBE | optimized geometry

Properties
E_form   -0.818 eV/atom

Cell: 4.0520 4.0520 9.6151 Å, 90.00 90.00 90.00°
Space group P-4m2 (No. 115)
Asymmetric unit:
Sm1 0.0000 0.5000 0.2475 [2 per cell]
Be1 0.0000 0.0000 0.0000 [1 per cell]
Be2 0.0000 0.5000 0.6251 [2 per cell]
Be3 0.5000 0.5000 0.0000 [1 per cell]
Pd1 0.0000 0.0000 0.5000 [1 per cell]
Pt1 0.0000 0.5000 0.8747 [2 per cell]
Pt2 0.5000 0.5000 0.5000 [1 per cell]

no.,density of states at the Fermi level (states/eV/atom),DFT total energy (eV per formula unit)
1,0.2498,-18.24
2,1.0296,-26.55
3,0.5857,-22.14
4,0.9592,-29.89
5,0.3091,-15.17
6,0.6015,-55.84